First-principles (PBE) data for a relaxed structure of Ac2InAg4Ge3, as listed in Alexandria.

a = 4.528 Å, b = 4.528 Å, c = 11.401 Å
α = 90.00°, β = 90.00°, γ = 90.00°
Space group P-4m2 (No. 115)
One atom of each set of equivalent atoms:
Ac1 0.000 0.500 0.235 (multiplicity 2)
In1 0.000 0.000 0.500 (multiplicity 1)
Ag1 0.000 0.000 0.000 (multiplicity 1)
Ag2 0.000 0.500 0.643 (multiplicity 2)
Ag3 0.500 0.500 0.000 (multiplicity 1)
Ge1 0.000 0.500 0.869 (multiplicity 2)
Ge2 0.500 0.500 0.500 (multiplicity 1)

Calculated values
Calculated total energy   -4.00 eV per atom
V   234 Å³/cell
Calculated formation energy   -0.384 eV per atom
N(E_F)   0.46 states/eV per atom
M_tot   0.00 Bohr magnetons per cell